1.
A relaxed Li2TaP crystal, computed with PBE.

Output
calculated formation energy: 0.04 eV per atom
spin magnetization: 0.00 μB/f.u.
E: -5.237 eV/atom

Cell: 4.2565 4.2565 4.2565 Å, 60.00 60.00 60.00°
Atoms (fractional coordinates):
Li  0.2500  0.2500  0.2500
Li  0.0000  0.0000  0.0000
Ta  0.7500  0.7500  0.7500
P  0.5000  0.5000  0.5000

=====

2.
A relaxed MgCdRe2Sn crystal, computed with PBE.

Output
calculated formation energy: 2.26 eV per atom
spin magnetization: 4.65 μB/f.u.
E: -4.025 eV/atom

Cell: 5.0511 5.1575 5.0511 Å, 90.00 90.00 90.00°
Atoms (fractional coordinates):
Cd  0.0000  0.0000  0.0000
Re  0.0000  0.0000  0.5000
Sn  0.0000  0.5000  0.0000
Mg  0.5000  0.5000  0.5000
Re  0.5000  0.0000  0.0000

=====

3.
A relaxed CePr4Ho7 crystal, computed with PBE.

Output
calculated formation energy: 0.27 eV per atom
spin magnetization: 1.15 μB/f.u.
E above lowest polymorph: 184 kJ/mol of formula units
E: -4.493 eV/atom

Cell: 5.8944 11.8079 6.7275 Å, 83.27 64.02 75.55°
Atoms (fractional coordinates):
Ho  0.5000  0.0000  0.0000
Ho  0.3670  0.4951  0.7709
Ho  0.7930  0.9240  0.4900
Pr  0.2235  0.3317  0.2212
Pr  0.7765  0.6683  0.7788
Ho  0.6330  0.5049  0.2291
Pr  0.6345  0.2229  0.5082
Pr  0.3655  0.7771  0.4918
Ce  0.0000  0.0000  0.0000
Ho  0.9295  0.3128  0.8282
Ho  0.2070  0.0760  0.5100
Ho  0.0705  0.6872  0.1718

=====

4.
A relaxed BeTc2P crystal, computed with PBE.

Output
calculated formation energy: -0.06 eV per atom
spin magnetization: 0.00 μB/f.u.
E above lowest polymorph: 141 kJ/mol of formula units
E: -7.527 eV/atom

Cell: 7.4312 7.4312 7.4312 Å, 22.18 22.18 22.18°
Atoms (fractional coordinates):
P  0.7500  0.7500  0.7500
Tc  0.0014  0.0014  0.0014
Be  0.2500  0.2500  0.2500
Tc  0.4986  0.4986  0.4986

=====

5.
A relaxed Sr2ZrZn crystal, computed with PBE.

Output
calculated formation energy: 0.43 eV per atom
spin magnetization: 1.55 μB/f.u.
E: -2.870 eV/atom

Cell: 6.8476 6.8476 6.8476 Å, 147.34 134.04 57.52°
Atoms (fractional coordinates):
Zn  0.2500  0.7500  0.5000
Sr  0.0471  0.0471  0.0000
Zr  0.7500  0.2500  0.5000
Sr  0.4529  0.4529  0.0000

=====

6.
A relaxed PdAuSeBr2 crystal, computed with PBE.

Output
uncorrected formation energy: 399 meV per atom
spin magnetization: 0.83 μB/f.u.
E above lowest polymorph: 0 kJ/mol of formula units
E: -2.662 eV/atom

Cell: 5.1308 5.1308 4.9533 Å, 90.00 90.00 90.00°
Atoms (fractional coordinates):
Se  0.0000  0.0000  0.5000
Br  0.5000  0.0000  0.0000
Pd  0.0000  0.0000  0.0000
Br  0.0000  0.5000  0.0000
Au  0.5000  0.5000  0.5000

=====

What did the first record say?
A relaxed Li2TaP crystal, computed with PBE.

Output
calculated formation energy: 0.04 eV per atom
spin magnetization: 0.00 μB/f.u.
E: -5.237 eV/atom

Cell: 4.2565 4.2565 4.2565 Å, 60.00 60.00 60.00°
Atoms (fractional coordinates):
Li  0.2500  0.2500  0.2500
Li  0.0000  0.0000  0.0000
Ta  0.7500  0.7500  0.7500
P  0.5000  0.5000  0.5000

=====

> Which value of E does entry 4 give?

-7.527 eV/atom

=====

> Which of these has the highest E?

PdAuSeBr2